# DyAg5Se4, optimized geometry, DFT PBE-GGA
# - Volume: 24.2 A^3/atom
# - Spin magnetization: 0.000 μB per formula unit
# - Uncorrected energy: -3.750 eV per atom
data_DyAg5Se4
_cell_length_a 4.254
_cell_length_b 7.764
_cell_length_c 14.655
_cell_angle_alpha 90.00
_cell_angle_beta 90.00
_cell_angle_gamma 90.00
_space_group_name_H-M_alt 'I m m m'
_space_group_IT_number 71
_space_group_name_Hall '-I 2 2'
loop_
_atom_site_label
_atom_site_type_symbol
_atom_site_fract_x
_atom_site_fract_y
_atom_site_fract_z
Dy1 Dy 0.000 0.000 0.000
Ag1 Ag 0.000 0.268 0.318
Ag2 Ag 0.000 0.500 0.000
Se1 Se 0.000 0.000 0.200
Se2 Se 0.000 0.239 0.500

=====

# Pr8AlGa6, optimized geometry, DFT PBE-GGA
# - ΔE_f: -0.336 eV/atom
# - Volume: 29.2 A^3/atom
# - Spin magnetization: 0.000 μB per formula unit
# - Uncorrected energy: -4.345 eV per atom
data_Pr8AlGa6
_cell_length_a 9.0097
_cell_length_b 9.0097
_cell_length_c 18.6643
_cell_angle_alpha 90.00
_cell_angle_beta 90.00
_cell_angle_gamma 120.00
_space_group_name_H-M_alt 'R -3'
_space_group_IT_number 148
_space_group_name_Hall '-R 3'
loop_
_atom_site_label
_atom_site_type_symbol
_atom_site_fract_x
_atom_site_fract_y
_atom_site_fract_z
Pr1 Pr 0.0000 0.0000 0.1666
Pr2 Pr 0.0122 0.2824 0.6112
Al1 Al 0.0000 0.0000 0.5000
Ga1 Ga 0.0060 0.3269 0.7815

=====

# LiAcLaSm, optimized geometry, DFT PBE-GGA
# - ΔE_f: 0.216 eV/atom
# - Volume: 35.1 A^3/atom
# - Spin magnetization: 0.000 μB per formula unit
# - Uncorrected energy: -3.701 eV per atom
data_LiAcLaSm
_cell_length_a 8.253
_cell_length_b 8.253
_cell_length_c 8.253
_cell_angle_alpha 90.00
_cell_angle_beta 90.00
_cell_angle_gamma 90.00
_space_group_name_H-M_alt 'F -4 3 m'
_space_group_IT_number 216
_space_group_name_Hall 'F -4 2 3'
loop_
_atom_site_label
_atom_site_type_symbol
_atom_site_fract_x
_atom_site_fract_y
_atom_site_fract_z
Li1 Li 0.000 0.000 0.000
Ac1 Ac 0.000 0.000 0.500
La1 La 0.250 0.250 0.250
Sm1 Sm 0.250 0.250 0.750

=====

# Mn5Ir3, optimized geometry, DFT PBE-GGA
# - ΔE_f: -0.133 eV/atom
# - Volume: 12.5 A^3/atom
# - Spin magnetization: 0.328 μB per formula unit
# - Uncorrected energy: -9.187 eV per atom
# - Energy above the lowest structure with this stoichiometry: 7.9 meV/atom
data_Mn5Ir3
_cell_length_a 9.856
_cell_length_b 9.108
_cell_length_c 4.943
_cell_angle_alpha 90.00
_cell_angle_beta 115.64
_cell_angle_gamma 90.00
_space_group_name_H-M_alt 'C 1 2/c 1'
_space_group_IT_number 15
loop_
_space_group_symop_operation_xyz
'x,y,z'
'-x,-y,-z'
'-x,y,-z+1/2'
'x,-y,z+1/2'
'x+1/2,y+1/2,z'
'-x+1/2,-y+1/2,-z'
'-x+1/2,y+1/2,-z+1/2'
'x+1/2,-y+1/2,z+1/2'
loop_
_atom_site_label
_atom_site_type_symbol
_atom_site_fract_x
_atom_site_fract_y
_atom_site_fract_z
Mn1 Mn 0.000 0.039 0.250
Mn2 Mn 0.126 0.290 0.503
Mn3 Mn 0.247 0.041 0.745
Ir1 Ir 0.000 0.460 0.750
Ir2 Ir 0.125 0.202 0.011

=====

# DyPd3S4, optimized geometry, DFT PBE-GGA
# - Volume: 18.8 A^3/atom
# - Spin magnetization: 0.000 μB per formula unit
# - Uncorrected energy: -5.468 eV per atom
data_DyPd3S4
_cell_length_a 6.699
_cell_length_b 6.699
_cell_length_c 6.699
_cell_angle_alpha 90.00
_cell_angle_beta 90.00
_cell_angle_gamma 90.00
_space_group_name_H-M_alt 'P m -3 n'
_space_group_IT_number 223
_space_group_name_Hall '-P 4n 2 3'
loop_
_atom_site_label
_atom_site_type_symbol
_atom_site_fract_x
_atom_site_fract_y
_atom_site_fract_z
Dy1 Dy 0.000 0.000 0.000
Pd1 Pd 0.000 0.250 0.500
S1 S 0.250 0.250 0.250

=====

# CdGa2Bi, optimized geometry, DFT PBE-GGA
# - ΔE_f: 0.074 eV/atom
# - Volume: 24.1 A^3/atom
# - Spin magnetization: 0.000 μB per formula unit
# - Uncorrected energy: -2.638 eV per atom
# - Energy above the lowest structure with this stoichiometry: 7.8 meV/atom
data_CdGa2Bi
_cell_length_a 4.649
_cell_length_b 4.649
_cell_length_c 4.457
_cell_angle_alpha 90.00
_cell_angle_beta 90.00
_cell_angle_gamma 90.00
_space_group_name_H-M_alt 'P 4/m m m'
_space_group_IT_number 123
_space_group_name_Hall '-P 4 2'
loop_
_atom_site_label
_atom_site_type_symbol
_atom_site_fract_x
_atom_site_fract_y
_atom_site_fract_z
Cd1 Cd 0.000 0.000 0.000
Ga1 Ga 0.000 0.500 0.500
Bi1 Bi 0.500 0.500 0.000

=====

- Which value of volume does entry 6 give?
  24.1 A^3/atom

=====

- What is the formula in the sixth record?
  CdGa2Bi